Record 1
The following is a DFT calculation (PBE) of an optimized crystal structure of YHf2TcSe.

Lattice parameters (Å, degrees): 4.8911 5.1526 4.8911 90.00 90.00 90.00
Closest atoms and distances in Å follow each position.
Fractional coordinates of all 5 atoms:
1 Se 0.0000 0.0000 0.0000  4 Hf 2.45, 2 Y 2.58
2 Y 0.0000 0.5000 0.0000  2 Se 2.58
3 Hf 0.0000 0.0000 0.5000  2 Se 2.45
4 Hf 0.5000 0.0000 0.0000  2 Se 2.45
5 Tc 0.5000 0.5000 0.5000  4 Y 3.46, 8 Hf 3.55

energy relative to the elements, uncorrected	0.41	eV/atom
crystal system	tetragonal

=====

Record 2
The following is a DFT calculation (PBE) of an optimized crystal structure of LiLaF4.

Lattice parameters (Å, degrees): 3.9589 7.0662 7.3610 90.00 90.00 124.07
Closest atoms and distances in Å follow each position.
Fractional coordinates of all 12 atoms:
1 F 0.1023 0.3524 0.5658  1 Li 2.09
2 F 0.3710 0.1212 0.7500  2 Li 1.99
3 F 0.6290 0.8788 0.2500  2 Li 1.99
4 F 0.4919 0.2419 0.2500  1 Li 1.88
5 F 0.1023 0.3524 0.9342  1 Li 2.09
6 F 0.8977 0.6476 0.0658  1 Li 2.09
7 F 0.5081 0.7581 0.7500  1 Li 1.88
8 F 0.8977 0.6476 0.4342  1 Li 2.09
9 La 0.7700 0.5201 0.7500  9 F 2.33-2.59
10 La 0.2300 0.4799 0.2500  9 F 2.33-2.59
11 Li 0.8298 0.0798 0.7500  5 F 1.88-2.09
12 Li 0.1702 0.9202 0.2500  5 F 1.88-2.09

energy relative to the elements, uncorrected	-3.74	eV/atom
crystal system	orthorhombic

=====

Record 3
The following is a DFT calculation (PBE) of an optimized crystal structure of Tb2Pr4NdEr.

Lattice parameters (Å, degrees): 5.1951 5.1625 11.4448 63.18 90.00 90.00
Closest atoms and distances in Å follow each position.
Fractional coordinates of all 8 atoms:
1 Pr 0.5000 0.7470 0.2530  4 Tb 3.61-3.66, 2 Er 3.62, 2 Nd 3.65, 4 Pr 3.66
2 Pr 0.0000 0.7526 0.7474  2 Er 3.61, 4 Tb 3.62-3.65, 2 Nd 3.66, 4 Pr 3.66
3 Pr 0.5000 0.2530 0.7470  4 Tb 3.61-3.66, 2 Er 3.62, 2 Nd 3.65, 4 Pr 3.66
4 Pr 0.0000 0.2474 0.2526  2 Er 3.61, 4 Tb 3.62-3.65, 2 Nd 3.66, 4 Pr 3.66
5 Tb 0.5000 0.0000 0.5000  8 Pr 3.61-3.62, 4 Er 3.66
6 Tb 0.0000 0.0000 0.0000  8 Pr 3.65-3.66, 4 Nd 3.66
7 Nd 0.5000 0.5000 0.0000  8 Pr 3.65-3.66, 4 Tb 3.66
8 Er 0.0000 0.5000 0.5000  8 Pr 3.61-3.62, 4 Tb 3.66

crystal system	orthorhombic
energy of formation	0.01	eV per atom